DFT (PBE) results for TbDyPt10 after structural relaxation.

The structure in extended XYZ format:
```
12
Lattice="4.4610 0.0000 0.0000 0.0000 5.3711 0.0000 0.0000 0.0000 9.2477" Properties=species:S:1:pos:R:3 pbc="T T T"
Tb 0.0000 0.0000 0.0000
Dy 0.0000 2.6856 4.6238
Pt 0.0000 0.0000 3.0846
Pt 0.0000 0.0000 6.1630
Pt 0.0000 2.6856 1.5475
Pt 0.0000 2.6856 7.7002
Pt 2.2305 0.0000 4.6238
Pt 2.2305 1.3435 2.3141
Pt 2.2305 1.3435 6.9336
Pt 2.2305 2.6856 0.0000
Pt 2.2305 4.0276 2.3141
Pt 2.2305 4.0276 6.9336
```

* DFT formation energy: -0.691 eV per atom